# MgAg2Ir PBEsol optimized geometry
data_MgAg2Ir
_chemical_formula_sum 'Mg2 Ag4 Ir2'
_cell_length_a 5.576
_cell_length_b 7.650
_cell_length_c 2.973
_cell_angle_alpha 90.00
_cell_angle_beta 90.00
_cell_angle_gamma 90.00
_space_group_name_H-M_alt 'C m m m'
_space_group_IT_number 65
_space_group_name_Hall '-C 2 2'
loop_
_atom_site_label
_atom_site_type_symbol
_atom_site_fract_x
_atom_site_fract_y
_atom_site_fract_z
Mg1 Mg 0.000 0.000 0.000
Ag1 Ag 0.250 0.250 0.500
Ir1 Ir 0.000 0.500 0.000
# - Total energy: -35.7 eV per cell
# - Spin magnetization: 0.000 μB/atom
# - Formation energy from the elements: 77 meV/atom